Here is HoSnPO after structural relaxation from the Open Quantum Materials Database. Energies are from GGA-PBE.

Spin magnetization = 0.003 μB per atom
Relative energy among the computed polymorphs = 82 meV per atom
Crystal system = tetragonal

Cell: 4.057 4.057 9.721 Å, 90.00 90.00 90.00°
Atoms (fractional coordinates):
Ho (0.250, 0.250, 0.104)
Ho (0.750, 0.750, 0.896)
Sn (0.250, 0.750, 0.500)
Sn (0.750, 0.250, 0.500)
P (0.250, 0.250, 0.726)
P (0.750, 0.750, 0.274)
O (0.250, 0.750, 0.000)
O (0.750, 0.250, 0.000)